Version i
{
  "formula": "NaCeMo2O8",
  "functional": "GGA+U",
  "state": "optimized geometry",
  "rho_g_cm3": 4.8,
  "space_group": "No. 82",
  "dos_at_fermi_per_ev_atom": 0.64,
  "lattice": [[6.9584, 0.0338, 0.0000], [2.8053, 6.3679, 0.0000], [-4.8819, -3.2009, 3.7871]],
  "species": ["Na", "O", "O", "O", "O", "O", "O", "O", "O", "Mo", "Mo", "Ce"],
  "frac_coords": [[0.7500, 0.2500, 0.5000], [0.9227, 0.8055, 0.4025], [0.0757, 0.1632, 0.4000], [0.4798, 0.0773, 0.8828], [0.1945, 0.5970, 0.1172], [0.7631, 0.6756, 0.6000], [0.4030, 0.5202, 0.5975], [0.3244, 0.9243, 0.0875], [0.8368, 0.2369, 0.9125], [0.2500, 0.7500, 0.5000], [0.0000, 0.0000, 0.0000], [0.5000, 0.5000, 0.0000]]
}

***

Version ii
{
  "formula": "NaCeMo2O8",
  "functional": "GGA+U",
  "state": "optimized geometry",
  "rho_g_cm3": 3.6,
  "space_group": "No. 147",
  "dos_at_fermi_per_ev_atom": 0.63,
  "lattice": [[-1.3117, -2.4507, -5.4060], [4.3054, -2.4841, 3.4991], [-4.7726, -4.0527, 2.9952]],
  "species": ["O", "O", "O", "O", "O", "O", "O", "O", "Mo", "Mo", "Na", "Ce"],
  "frac_coords": [[0.3333, 0.6667, 0.0554], [0.6620, 0.8299, 0.7215], [0.1679, 0.3380, 0.7215], [0.3380, 0.1701, 0.2785], [0.6667, 0.3333, 0.9446], [0.8321, 0.6620, 0.2785], [0.1701, 0.8321, 0.7215], [0.8299, 0.1679, 0.2785], [0.3333, 0.6667, 0.8045], [0.6667, 0.3333, 0.1955], [0.0000, 0.0000, 0.0000], [0.0000, 0.0000, 0.5000]]
}

***

Most stable to least stable, the ends of the list are version i and version ii.